VASP calculation (PBE) on BaHgOs after structural relaxation.

Output
Total moment   2.07 μB per formula unit
E above lowest polymorph   0.8420 eV per atom
E   -3.02 eV/atom

abc: 5.3268 5.3268 5.3268
angles: 60.00 60.00 60.00
Fractional positions:
1 Os 0.5000 0.5000 0.5000
2 Hg 0.0000 0.0000 0.0000
3 Ba 0.7500 0.7500 0.7500